# 1
The following is a DFT calculation (PBE) of a relaxed structure of BaSrIN2.

Calculated values
Formation energy from raw total energies (kJ per mole of atoms): 50
Symmetry: No. 123
Raw total energy (eV/atom): -3.842

Unit cell a=4.7896 b=4.7896 c=6.4879 alpha=90.00 beta=90.00 gamma=90.00
With the nearest neighbours (Å) after each atom.
Fractional coordinates of all 5 atoms:
Ba  0.0000  0.0000  0.0000  4 N 2.39
Sr  0.5000  0.5000  0.5000  4 I 3.39
I  0.0000  0.0000  0.5000  2 Ba 3.24, 4 Sr 3.39
N  0.0000  0.5000  0.0000  2 Ba 2.39
N  0.5000  0.0000  0.0000  2 Ba 2.39


# 2
The following is a DFT calculation (PBE) of a relaxed structure of BaTaIN2.

Calculated values
Formation energy from raw total energies (kJ per mole of atoms): -13
Symmetry: No. 123
Raw total energy (eV/atom): -6.525

Unit cell a=4.3510 b=4.3510 c=5.5820 alpha=90.00 beta=90.00 gamma=90.00
With the nearest neighbours (Å) after each atom.
Fractional coordinates of all 5 atoms:
Ba  0.0000  0.0000  0.0000  4 I 3.08
Ta  0.5000  0.5000  0.5000  4 N 2.18
I  0.5000  0.5000  0.0000  2 Ta 2.79, 4 Ba 3.08
N  0.0000  0.5000  0.5000  2 Ta 2.18
N  0.5000  0.0000  0.5000  2 Ta 2.18


# 3
The following is a DFT calculation (PBE) of a relaxed structure of BaTaIN2.

Calculated values
Formation energy from raw total energies (kJ per mole of atoms): 226
Symmetry: No. 123
Raw total energy (eV/atom): -4.054

Unit cell a=4.5214 b=4.5214 c=6.3717 alpha=90.00 beta=90.00 gamma=90.00
With the nearest neighbours (Å) after each atom.
Fractional coordinates of all 5 atoms:
Ba  0.0000  0.0000  0.0000  4 N 2.26
Ta  0.5000  0.5000  0.5000  4 I 3.20
I  0.0000  0.0000  0.5000  2 Ba 3.19, 4 Ta 3.20
N  0.0000  0.5000  0.0000  2 Ba 2.26
N  0.5000  0.0000  0.0000  2 Ba 2.26


# 4
The following is a DFT calculation (PBE) of a relaxed structure of Ba4TeI2N.

Calculated values
Formation energy from raw total energies (kJ per mole of atoms): -119
Symmetry: No. 10
Raw total energy (eV/atom): -4.017

Unit cell a=8.2747 b=4.6191 c=8.7488 alpha=90.00 beta=108.55 gamma=90.00
With the nearest neighbours (Å) after each atom.
Fractional coordinates of all 8 atoms:
Ba  0.2003  0.0000  0.1906  2 N 3.02
Ba  0.2087  0.5000  0.8071  1 N 2.77
Ba  0.7913  0.5000  0.1929  1 N 2.77
Ba  0.7997  0.0000  0.8094  2 N 3.02
Te  0.5000  0.0000  0.0000  6 Ba 3.38-3.40
I  0.0000  0.0000  0.5000  6 Ba 3.55-3.60
I  0.5000  0.5000  0.5000  6 Ba 3.81-4.14
N  0.0000  0.5000  0.0000  6 Ba 2.77-3.02